# LiTm5Sb4 | Alexandria | GGA-PBE | relaxed
data_LiTm5Sb4
_space_group_name_H-M_alt 'P 1'
_space_group_IT_number 1
_space_group_name_Hall 'P 1'
_cell_length_a 7.413
_cell_length_b 7.413
_cell_length_c 7.413
_cell_angle_alpha 99.93
_cell_angle_beta 99.93
_cell_angle_gamma 130.94
loop_
_atom_site_label
_atom_site_type_symbol
_atom_site_fract_x
_atom_site_fract_y
_atom_site_fract_z
Li1 Li 0.000 0.000 0.000
Tm1 Tm 0.106 0.515 0.212
Tm2 Tm 0.303 0.894 0.788
Tm3 Tm 0.515 0.303 0.409
Tm4 Tm 0.522 0.522 0.000
Tm5 Tm 0.894 0.106 0.591
Sb1 Sb 0.416 0.603 0.613
Sb2 Sb 0.603 0.990 0.187
Sb3 Sb 0.803 0.416 0.813
Sb4 Sb 0.990 0.803 0.387
# E_tot, eV per atom: -4.8290
# Formation energy without anion corrections, eV/f.u.: -7.5
# Total moment, μB per cell: 0.000
# Crystal system: tetragonal